Here is a geometry-optimized BeFeAu2O structure from the Alexandria database. Energies are from PBE with a Hubbard U.

Cell lengths 4.721, 3.731, 4.721 Å; angles 90.00, 90.00, 90.00 degrees
Last column: magnetic moment on the atom in μB.
Atoms (fractional coordinates):
Be 0.500 0.500 0.500  0.01
Au 0.500 0.000 0.000  0.04
Au 0.000 0.000 0.500  0.06
O 0.000 0.000 0.000  0.11
Fe 0.000 0.500 0.000  3.66

Summary:
Magnetization   0.788 μB per atom
SG   P4/mmm (123)
Total energy   -3.81 eV per atom